This record from Alexandria via LeMat-Bulk describes a relaxed structure of CrF3. The functional is PBE+U.

Summary:
Symmetry: C2/c
Total magnetization, μB/cell: 6.000
VASP energy, eV per atom: -5.839

a b c (Å): 5.4402 5.4402 5.4421
angles (deg): 76.94 76.94 116.98
With the nearest neighbours (Å) after each atom.
Fractional positions:
Cr 0.0000 0.0000 0.5000  6 F 1.97
Cr 0.0000 0.0000 0.0000  6 F 1.97
F 0.1627 0.3177 0.6410  2 Cr 1.97
F 0.8466 0.1534 0.2500  2 Cr 1.97
F 0.6823 0.8373 0.8590  2 Cr 1.97
F 0.8373 0.6823 0.3590  2 Cr 1.97
F 0.1534 0.8466 0.7500  2 Cr 1.97
F 0.3177 0.1627 0.1410  2 Cr 1.97